Entry 1:
5
Lattice="4.420 0.000 0.000 0.000 4.420 0.000 0.000 0.000 4.420" Properties=species:S:1:pos:R:3 comment="ZnCdF3 (PBE, optimized geometry)" de_polymorph_mev_per_atom=315 pbc="T T T"
Zn 0.000 0.000 0.000
Cd 2.210 2.210 2.210
F 0.000 2.210 2.210
F 2.210 0.000 2.210
F 2.210 2.210 0.000

=====

Entry 2:
Computed, not measured: a relaxed ZnCdF5 crystal at the PBE level of DFT.

Geometry as extended XYZ:
```
14
Lattice="4.475 -3.254 0.000 4.475 3.254 0.000 -3.310 0.000 6.955" Properties=species:S:1:pos:R:3 pbc="T T T"
Zn 0.000 0.000 0.000
Zn -1.655 0.000 3.477
Cd 1.992 0.293 5.216
Cd 3.647 -0.293 1.739
F 1.992 2.656 5.216
F 0.057 0.171 4.340
F 1.712 -0.171 0.863
F 4.245 1.288 0.219
F 3.049 1.288 3.259
F 2.590 -1.288 3.696
F 1.393 -1.288 6.736
F 3.926 0.171 6.092
F 5.581 -0.171 2.615
F 3.647 -2.656 1.739
```

=====

Entry 3:
Computed, not measured: a relaxed ZnCd6F12 crystal at the PBE level of DFT.

Geometry as extended XYZ:
```
19
Lattice="5.102 2.946 3.186 -5.102 2.946 3.186 0.000 -5.892 3.186" Properties=species:S:1:pos:R:3 pbc="T T T"
Zn 0.000 0.000 0.000
Cd -0.826 -2.310 3.318
Cd -1.587 1.871 3.318
Cd -2.414 -0.439 6.241
Cd 2.414 0.439 3.318
Cd 1.587 -1.871 6.241
Cd 0.826 2.310 6.241
F -4.511 -1.216 5.325
F -1.202 -4.515 4.233
F -2.085 -0.305 3.809
F -3.309 3.299 4.233
F -0.778 -1.958 5.750
F 1.307 -1.653 3.809
F -1.307 1.653 5.750
F 0.778 1.958 3.809
F 3.309 -3.299 5.325
F 2.085 0.305 5.750
F 1.202 4.515 5.325
F 4.511 1.216 4.233
```

=====

For each record above, in turn, the calculated electronic total energy values are -15.32, -49.63, -68.05 eV/cell.
For each record above, in turn, the calculated formation energy (no corrections) values are -1.504, -1.895, -2.044 eV/atom.
For each record above, in turn, the calculated N(E_F) values are 2.839, 7.649, 2.531 states/eV/cell.